First-principles (GGA-PBE) data for crystalline Ce3NdPt2 at its relaxed geometry, as listed in Alexandria via LeMat-Bulk.

Values from the calculation:
Calculated volume ... 290.9 Å³/cell
Energy of formation from the pure elements ... -4.18 eV per formula unit

Lattice parameters (Å, degrees): 4.547 8.766 8.599 117.44 90.00 105.03
Fractional positions:
Ce (0.067, 0.133, 0.440)
Ce (0.933, 0.867, 0.560)
Ce (0.373, 0.746, 0.305)
Ce (0.288, 0.577, 0.615)
Ce (0.712, 0.423, 0.385)
Ce (0.627, 0.254, 0.695)
Pt (0.520, 0.040, 0.187)
Pt (0.758, 0.516, 0.110)
Pt (0.242, 0.484, 0.890)
Pt (0.480, 0.960, 0.813)
Nd (0.110, 0.221, 0.030)
Nd (0.890, 0.779, 0.970)